1.
The following is a DFT calculation (PBE-GGA) of CeScTl2Te4 after structural relaxation.

Cell: 7.6772 4.4237 8.5416 Å, 90.00 107.19 90.00°
Space group P2/m (No. 10)
Inequivalent atoms, fractional coordinates:
Ce  0.0000  0.0000  0.0000
Sc  0.5000  0.5000  0.0000
Tl  0.0000  0.5000  0.5000
Tl  0.5000  0.0000  0.5000
Te  0.2556  0.5000  0.2152
Te  0.2815  0.0000  0.7940

Energy relative to the elements, uncorrected, eV/atom: -0.9479

2.
The following is a DFT calculation (PBE-GGA) of Ce2TmScTe5 after structural relaxation.

Cell: 5.4962 5.4962 11.1833 Å, 90.00 90.00 90.00°
Space group P4/mmm (No. 123)
Inequivalent atoms, fractional coordinates:
Ce  0.0000  0.0000  0.1964
Tm  0.5000  0.5000  0.0000
Sc  0.5000  0.5000  0.5000
Te  0.0000  0.0000  0.5000
Te  0.0000  0.5000  0.0000
Te  0.5000  0.5000  0.2609

Energy relative to the elements, uncorrected, eV/atom: -0.7931

3.
The following is a DFT calculation (PBE-GGA) of Ce3TmSc2Te6 after structural relaxation.

Cell: 19.1017 4.3005 8.8121 Å, 90.00 104.98 90.00°
Space group C2/m (No. 12)
Inequivalent atoms, fractional coordinates:
Ce  0.0000  0.0000  0.0000
Ce  0.1647  0.5000  0.3308
Tm  0.0000  0.0000  0.5000
Sc  0.1677  0.5000  0.8341
Te  0.0073  0.5000  0.7434
Te  0.1644  0.0000  0.5988
Te  0.1721  0.0000  0.0686

Energy relative to the elements, uncorrected, eV/atom: -1.2508

4.
The following is a DFT calculation (PBE-GGA) of Ce2Y3ScTe6 after structural relaxation.

Cell: 19.1158 4.3472 8.8257 Å, 90.00 103.88 90.00°
Space group C2/m (No. 12)
Inequivalent atoms, fractional coordinates:
Ce  0.1673  0.0000  0.3355
Y  0.0000  0.5000  0.5000
Y  0.1717  0.0000  0.8357
Sc  0.0000  0.5000  0.0000
Te  0.0040  0.0000  0.7620
Te  0.1606  0.5000  0.0739
Te  0.1637  0.5000  0.5899

Energy relative to the elements, uncorrected, eV/atom: -1.2918

5.
The following is a DFT calculation (PBE-GGA) of CeThSc after structural relaxation.

Cell: 3.4906 3.4906 14.0154 Å, 90.00 90.00 90.00°
Space group I4mm (No. 107)
Inequivalent atoms, fractional coordinates:
Ce  0.0000  0.0000  0.0000
Th  0.0000  0.0000  0.6678
Sc  0.0000  0.0000  0.3321

DFT formation energy, eV per atom: 0.059

6.
The following is a DFT calculation (PBE-GGA) of CeTh3Sc3 after structural relaxation.

Cell: 5.9297 5.9297 40.1098 Å, 90.00 90.00 120.00°
Space group R-3 (No. 148, hexagonal axes)
Inequivalent atoms, fractional coordinates:
Ce  0.0000  0.0000  0.1667
Th  0.0003  0.3270  0.4335
Sc  0.0000  0.3349  0.6343

DFT formation energy, eV per atom: 0.138

7.
The following is a DFT calculation (PBE-GGA) of CeThSc2 after structural relaxation.

Cell: 3.4245 3.4245 9.4644 Å, 90.00 90.00 90.00°
Space group P4/mmm (No. 123)
Inequivalent atoms, fractional coordinates:
Ce  0.0000  0.0000  0.0000
Th  0.0000  0.0000  0.5000
Sc  0.5000  0.5000  0.2489

DFT formation energy, eV per atom: 0.059

8.
The following is a DFT calculation (PBE-GGA) of Ce4Th5Sc after structural relaxation.

Cell: 3.4983 3.4983 23.9152 Å, 90.00 90.00 90.00°
Space group P4/mmm (No. 123)
Inequivalent atoms, fractional coordinates:
Ce  0.0000  0.0000  0.1010
Ce  0.0000  0.0000  0.3023
Th  0.5000  0.5000  0.0000
Th  0.5000  0.5000  0.2017
Th  0.5000  0.5000  0.4032
Sc  0.0000  0.0000  0.5000

DFT formation energy, eV per atom: 0.014

9.
The following is a DFT calculation (PBE-GGA) of Ce2Th2Sc7 after structural relaxation.

Cell: 10.3918 10.8256 5.7391 Å, 90.00 112.15 90.00°
Space group C2/m (No. 12)
Inequivalent atoms, fractional coordinates:
Ce  0.0000  0.2175  0.0000
Th  0.2254  0.0000  0.0737
Sc  0.0000  0.0000  0.5000
Sc  0.0894  0.5000  0.3096
Sc  0.1687  0.2366  0.6605

DFT formation energy, eV per atom: 0.201

10.
The following is a DFT calculation (PBE-GGA) of CeTh6Sc2 after structural relaxation.

Cell: 6.0048 10.5041 8.5976 Å, 90.00 90.00 90.00°
Space group C222 (No. 21)
Inequivalent atoms, fractional coordinates:
Ce  0.0000  0.0000  0.0000
Th  0.0000  0.3298  0.0000
Th  0.2377  0.0869  0.3367
Sc  0.2500  0.2500  0.6725

DFT formation energy, eV per atom: 0.122

11.
The following is a DFT calculation (PBE-GGA) of CeTh4Sc5 after structural relaxation.

Cell: 17.9549 3.4915 9.2214 Å, 90.00 104.82 90.00°
Space group C2/m (No. 12)
Inequivalent atoms, fractional coordinates:
Ce  0.0000  0.0000  0.0000
Th  0.1017  0.5000  0.3044
Th  0.1023  0.5000  0.7975
Sc  0.0000  0.0000  0.5000
Sc  0.2026  0.0000  0.1021
Sc  0.2052  0.0000  0.6021

DFT formation energy, eV per atom: 0.048

12.
The following is a DFT calculation (PBE-GGA) of CeThSc2 after structural relaxation.

Cell: 3.3830 3.3830 33.0369 Å, 90.00 90.00 120.00°
Space group R3m (No. 160, hexagonal axes)
Inequivalent atoms, fractional coordinates:
Ce  0.0000  0.0000  0.0000
Th  0.0000  0.0000  0.8337
Sc  0.0000  0.0000  0.4143
Sc  0.0000  0.0000  0.5859

DFT formation energy, eV per atom: 0.078